A plane-wave DFT calculation with PBE was carried out for a relaxed ErTm6Al2 crystal.

Summary:
**Calculated total energy**: -40.4 eV/cell
**Total moment**: 0.00 μB/atom

Structure (POSCAR):
```
ErTm6Al2
1.0
3.602 0.000 0.000
1.801 6.151 0.426
1.801 1.663 11.149
Tm Al Er
6 2 1
Cartesian
3.602 5.830 6.876
3.602 3.301 1.598
3.602 4.514 9.977
3.602 1.984 4.699
1.801 2.894 7.577
5.403 4.921 3.998
5.403 6.906 9.240
1.801 0.908 2.335
0.000 0.000 0.000
```

---

A plane-wave DFT calculation with PBE was carried out for a relaxed Er5TmAl4 crystal.

Summary:
**Calculated total energy**: -45.4 eV/cell
**Total moment**: 0.00 μB/atom

Structure (POSCAR):
```
Er5TmAl4
1.0
-3.531 0.030 0.179
-0.181 -0.787 -3.442
0.062 -19.002 4.342
Al Er Tm
4 5 1
Cartesian
0.048 -14.826 3.388
0.037 -11.272 2.576
0.025 -7.730 1.766
0.014 -4.176 0.954
-1.837 -6.341 -0.269
-1.814 -13.418 1.348
-1.802 -16.986 2.164
-1.848 -2.773 -1.084
-1.825 -9.880 0.540
0.000 0.000 0.000
```

---

A plane-wave DFT calculation with PBE was carried out for a relaxed Er12Tm6Al crystal.

Summary:
**Calculated total energy**: -83.5 eV/cell
**Total moment**: 0.00 μB/atom

Structure (POSCAR):
```
Er12Tm6Al
1.0
8.251 0.675 0.809
-0.584 8.258 0.809
-0.584 -0.680 8.270
Al Tm Er
1 6 12
Cartesian
0.000 0.000 0.000
5.687 2.555 1.590
1.664 0.490 6.196
1.397 5.698 8.298
5.420 7.763 3.691
0.232 5.789 2.798
6.851 2.464 7.089
5.889 4.676 4.671
1.195 3.577 5.216
2.824 6.391 5.435
3.355 4.824 2.627
4.260 1.862 4.452
1.232 3.101 0.556
4.206 8.008 8.127
2.878 0.245 1.760
3.729 3.429 7.260
5.852 5.153 9.332
7.278 7.036 6.737
-0.194 1.217 3.150
```

---

A plane-wave DFT calculation with PBE was carried out for a relaxed Er2Tm3Al2 crystal.

Summary:
**Energy above the most stable polymorph in this dataset**: 0.000 eV per atom
**Calculated total energy**: -31.5 eV/cell
**Total moment**: 0.00 μB/atom

Structure (POSCAR):
```
Er2Tm3Al2
1.0
-0.529 -1.020 -5.075
3.831 -2.241 2.722
-7.019 -4.074 1.542
Tm Al Er
3 2 2
Cartesian
-2.384 -3.207 -1.777
-0.264 -0.510 -2.538
-1.334 -4.127 0.966
0.475 -1.822 0.317
-4.192 -5.512 -1.128
0.924 -3.855 -1.989
-4.642 -3.480 1.178
```

---

A plane-wave DFT calculation with PBE was carried out for a relaxed Er4Tm9Al11 crystal.

Summary:
**Calculated total energy**: -107.5 eV/cell
**Total moment**: 0.00 μB/atom

Structure (POSCAR):
```
Er4Tm9Al11
1.0
-1.476 2.043 2.145
-9.714 2.405 -8.979
-3.048 -10.465 7.872
Er Al Tm
4 11 9
Cartesian
-5.413 -0.523 -0.674
-8.826 -5.493 1.711
-9.924 -3.372 -1.066
-4.315 -2.644 2.103
-4.305 -8.038 4.694
-7.186 -2.477 -2.587
-10.237 -6.464 -0.888
-8.651 -8.653 2.289
-5.577 -5.583 1.480
-11.141 -3.846 -4.006
-8.457 -0.022 -5.801
-4.112 0.594 -3.396
-1.622 -4.214 2.899
-2.526 -1.595 -0.219
0.000 0.000 0.000
-1.462 -1.091 2.587
-7.184 0.769 -3.124
-10.035 -1.032 -3.371
-7.120 -3.008 0.519
-11.485 -7.421 1.717
-4.204 -4.984 4.408
-2.754 1.404 -0.680
-7.055 -6.785 4.161
-12.777 -4.925 -1.550
```

---

A plane-wave DFT calculation with PBE was carried out for a relaxed Er2Tm3Al3 crystal.

Summary:
**Calculated total energy**: -36.2 eV/cell
**Total moment**: 0.00 μB/atom

Structure (POSCAR):
```
Er2Tm3Al3
1.0
3.618 0.000 0.000
0.000 5.092 0.000
-1.809 -2.546 10.644
Tm Er Al
3 2 3
Cartesian
1.809 2.546 2.571
1.809 0.000 0.000
0.000 0.000 8.073
1.809 0.000 4.915
0.000 2.546 5.729
1.809 2.546 8.179
0.000 0.000 2.465
0.000 2.546 0.000
```

---

A plane-wave DFT calculation with PBE was carried out for a relaxed Er2Tm4Al crystal.

Summary:
**Calculated total energy**: -31.1 eV/cell
**Total moment**: 0.21 μB/atom

Structure (POSCAR):
```
Er2Tm4Al
1.0
3.551 0.000 0.000
1.776 3.076 0.000
1.776 1.025 18.568
Tm Er Al
4 2 1
Cartesian
1.776 1.025 2.239
1.776 1.025 13.482
5.327 3.076 16.329
5.327 3.076 5.087
5.327 3.076 10.686
1.776 1.025 7.882
0.000 0.000 0.000
```

---

A plane-wave DFT calculation with PBE was carried out for a relaxed Er4TmAl4 crystal.

Summary:
**Calculated total energy**: -78.3 eV/cell
**Total moment**: 0.00 μB/atom

Structure (POSCAR):
```
Er4TmAl4
1.0
-0.814 5.413 -1.547
-7.384 0.254 4.772
4.610 2.691 6.990
Er Tm Al
8 2 8
Cartesian
-1.356 7.463 8.270
0.392 4.453 7.277
2.424 2.416 4.820
-3.796 2.683 3.286
-2.861 5.087 0.746
-5.381 1.749 6.593
-4.025 5.073 7.052
0.254 4.505 2.814
0.000 0.000 0.000
-1.794 4.179 5.107
2.512 5.426 5.163
-3.733 5.856 3.582
-2.106 4.813 9.534
-2.461 2.310 7.335
-6.258 3.989 4.749
-1.322 2.487 0.983
-0.472 1.692 4.125
-0.509 6.856 5.387
```

---

A plane-wave DFT calculation with PBE was carried out for a relaxed ErTm3Al crystal.

Summary:
**Calculated total energy**: -45.0 eV/cell
**Total moment**: 0.07 μB/atom

Structure (POSCAR):
```
ErTm3Al
1.0
-3.154 -1.581 -0.202
7.568 -3.064 -1.452
-3.010 0.383 13.058
Tm Er Al
6 2 2
Cartesian
0.079 -0.457 2.325
2.184 -1.910 11.754
-0.165 -0.392 5.637
1.326 -3.805 9.080
-0.779 -2.351 -0.349
1.570 -3.870 5.768
-0.226 -0.746 9.334
1.630 -3.516 2.071
-0.988 -2.897 7.192
2.393 -1.365 4.213
```

---

A plane-wave DFT calculation with PBE was carried out for a relaxed Er3TmAl8 crystal.

Summary:
**Energy above the most stable polymorph in this dataset**: 0.000 eV per atom
**Calculated total energy**: -54.2 eV/cell
**Total moment**: 0.00 μB/atom

Structure (POSCAR):
```
Er3TmAl8
1.0
-3.601 -3.631 -2.067
-2.575 -3.543 3.352
-8.755 3.584 1.599
Al Er Tm
8 3 1
Cartesian
-10.520 -2.492 0.628
-4.988 0.222 0.940
-5.633 -4.236 2.538
-10.008 -2.448 3.337
-11.808 -4.263 2.304
-6.146 -4.280 -0.171
-4.346 -2.465 0.862
-12.455 -1.571 2.383
-9.973 0.442 1.880
-6.182 -7.168 1.286
-7.469 -1.792 1.443
-8.682 -4.938 1.723
```

---

A plane-wave DFT calculation with PBE was carried out for a relaxed Er4TmAl5 crystal.

Summary:
**Calculated total energy**: -45.3 eV/cell
**Total moment**: 0.00 μB/atom

Structure (POSCAR):
```
Er4TmAl5
1.0
-1.995 0.072 -2.931
-2.810 -1.056 1.887
-4.232 17.172 3.305
Er Al Tm
4 5 1
Cartesian
-0.843 3.421 0.659
-3.389 13.751 2.647
-1.692 6.865 1.321
-2.540 10.307 1.984
-3.670 4.651 0.468
-2.821 1.206 -0.195
-5.367 11.538 1.794
-4.519 8.094 1.131
-6.216 14.982 2.457
0.000 0.000 0.000
```

---

A plane-wave DFT calculation with PBE was carried out for a relaxed YErTmAl crystal.

Summary:
**Energy above the most stable polymorph in this dataset**: 0.125 eV per atom
**Calculated total energy**: -19.5 eV/cell
**Total moment**: 0.00 μB/atom

Structure (POSCAR):
```
YErTmAl
1.0
-3.940 3.293 -1.369
-4.591 -1.962 -1.820
-4.383 0.287 2.991
Y Er Al Tm
1 1 1 1
Cartesian
-9.686 1.213 -0.149
-3.229 0.404 -0.050
0.000 0.000 0.000
-6.457 0.809 -0.099
```

---

A plane-wave DFT calculation with PBE was carried out for a relaxed YErTmAl crystal.

Summary:
**Energy above the most stable polymorph in this dataset**: 0.000 eV per atom
**Calculated total energy**: -20.0 eV/cell
**Total moment**: 0.00 μB/atom

Structure (POSCAR):
```
YErTmAl
1.0
-4.456 -1.498 0.326
1.368 -4.355 -1.322
0.717 -1.148 4.525
Tm Y Al Er
1 1 1 1
Cartesian
1.042 -2.752 1.602
-1.870 -1.323 2.426
0.000 0.000 0.000
-1.544 -2.927 -0.498
```

---

A plane-wave DFT calculation with PBE was carried out for a relaxed ErTmAlZn crystal.

Summary:
**Energy above the most stable polymorph in this dataset**: 0.000 eV per atom
**Calculated total energy**: -15.6 eV/cell
**Total moment**: 0.00 μB/atom

Structure (POSCAR):
```
ErTmAlZn
1.0
-0.709 -3.323 0.972
2.468 0.210 2.520
-4.903 2.391 4.602
Er Tm Zn Al
1 1 1 1
Cartesian
-2.073 -0.116 4.517
0.328 -1.287 2.264
-1.737 0.847 1.631
-4.211 2.054 3.952
```

---

A plane-wave DFT calculation with PBE was carried out for a relaxed ErTmAlZn crystal.

Summary:
**Energy above the most stable polymorph in this dataset**: 0.009 eV per atom
**Calculated total energy**: -15.5 eV/cell
**Total moment**: 0.00 μB/atom

Structure (POSCAR):
```
ErTmAlZn
1.0
-2.515 -3.663 -2.334
-1.779 -3.890 2.626
-4.944 -0.497 0.712
Er Al Zn Tm
1 1 1 1
Cartesian
-6.928 -6.038 0.753
-4.619 -4.026 0.502
0.000 0.000 0.000
-2.309 -2.013 0.251
```

---

A plane-wave DFT calculation with PBE was carried out for a relaxed Er2TmAl2Zn2 crystal.

Summary:
**Calculated total energy**: -25.7 eV/cell
**Total moment**: 0.00 μB/atom

Structure (POSCAR):
```
Er2TmAl2Zn2
1.0
4.482 0.000 0.000
2.241 3.882 0.000
2.241 1.294 8.898
Zn Tm Al Er
2 1 2 2
Cartesian
4.482 2.588 1.692
4.482 2.588 7.206
0.000 0.000 0.000
6.723 3.882 7.054
2.241 1.294 1.844
6.723 3.882 3.394
2.241 1.294 5.504
```

---

A plane-wave DFT calculation with PBE was carried out for a relaxed ErTm2Al2Zn2 crystal.

Summary:
**Calculated total energy**: -25.6 eV/cell
**Total moment**: 0.00 μB/atom

Structure (POSCAR):
```
ErTm2Al2Zn2
1.0
4.487 0.000 0.000
2.244 3.886 0.000
2.244 1.295 8.851
Er Zn Al Tm
1 2 2 2
Cartesian
0.000 0.000 0.000
4.487 2.591 1.728
4.487 2.591 7.123
6.731 3.886 6.983
2.244 1.295 1.868
2.244 1.295 5.461
6.731 3.886 3.390
```

---

A plane-wave DFT calculation with PBE was carried out for a relaxed Er2UAl9 crystal.

Summary:
**Calculated total energy**: -58.0 eV/cell
**Total moment**: 0.19 μB/atom

Structure (POSCAR):
```
Er2UAl9
1.0
4.240 0.000 0.000
0.000 4.240 0.000
0.000 0.000 12.776
Al U Er
9 1 2
Cartesian
2.120 2.120 8.506
2.120 2.120 0.000
2.120 0.000 10.657
2.120 2.120 4.270
2.120 0.000 6.388
2.120 0.000 2.119
0.000 2.120 2.119
0.000 2.120 6.388
0.000 2.120 10.657
0.000 0.000 0.000
0.000 0.000 8.516
0.000 0.000 4.260
```

---

A plane-wave DFT calculation with PBE was carried out for a relaxed ErAlV crystal.

Summary:
**Energy above the most stable polymorph in this dataset**: 0.326 eV per atom
**Calculated total energy**: -16.7 eV/cell
**Total moment**: 0.38 μB/atom

Structure (POSCAR):
```
ErAlV
1.0
-2.873 -0.106 0.231
0.283 -4.534 1.440
0.128 3.529 3.200
Al V Er
1 1 1
Cartesian
-1.737 0.771 2.768
-0.478 -0.018 0.038
-0.248 -1.864 2.065
```

---

A plane-wave DFT calculation with PBE was carried out for a relaxed ErAlV4 crystal.

Summary:
**Calculated total energy**: -43.9 eV/cell
**Total moment**: 0.00 μB/atom

Structure (POSCAR):
```
ErAlV4
1.0
5.186 0.000 0.000
2.593 4.492 0.000
2.593 1.497 4.235
V Al Er
4 1 1
Cartesian
5.186 2.994 0.568
5.186 1.534 2.634
6.451 3.725 2.634
3.922 3.725 2.634
0.000 0.000 0.000
2.593 1.497 1.059
```

---

A plane-wave DFT calculation with PBE was carried out for a relaxed ErAlV crystal.

Summary:
**Energy above the most stable polymorph in this dataset**: 0.798 eV per atom
**Calculated total energy**: -15.3 eV/cell
**Total moment**: 0.00 μB/atom

Structure (POSCAR):
```
ErAlV
1.0
-0.619 -0.432 -2.798
-0.624 -2.773 0.566
-6.833 3.554 2.463
Er V Al
1 1 1
Cartesian
-2.025 0.530 0.366
-4.686 -0.538 -0.381
-7.203 0.121 0.074
```

---

A plane-wave DFT calculation with PBE was carried out for a relaxed ErAl8V2 crystal.

Summary:
**Calculated total energy**: -52.4 eV/cell
**Total moment**: 0.00 μB/atom

Structure (POSCAR):
```
ErAl8V2
1.0
5.012 -0.095 -0.142
-0.991 6.765 -0.398
-0.991 -2.973 6.090
Al V Er
8 2 1
Cartesian
0.168 -0.301 1.897
1.516 4.130 1.255
0.168 1.867 0.453
2.821 1.541 2.312
2.863 3.998 3.652
2.863 1.830 5.096
1.516 -0.433 4.295
0.210 2.157 3.237
-0.991 3.919 1.498
-0.991 -0.127 4.194
2.506 -0.047 -0.071
```

---

A plane-wave DFT calculation with PBE was carried out for a relaxed Er2AlV crystal.

Summary:
**Energy above the most stable polymorph in this dataset**: 0.000 eV per atom
**Calculated total energy**: -22.2 eV/cell
**Total moment**: 0.83 μB/atom

Structure (POSCAR):
```
Er2AlV
1.0
5.040 0.000 0.000
2.520 4.365 0.000
2.520 1.455 4.115
Er Al V
2 1 1
Cartesian
7.560 4.365 3.086
2.520 1.455 1.029
0.000 0.000 0.000
5.040 2.910 2.058
```

---

A plane-wave DFT calculation with PBE was carried out for a relaxed ErAl4V crystal.

Summary:
**Calculated total energy**: -30.0 eV/cell
**Total moment**: 0.00 μB/atom

Structure (POSCAR):
```
ErAl4V
1.0
-3.503 -2.169 -3.310
-0.629 -5.247 -0.116
-4.430 -2.173 1.893
Al Er V
4 1 1
Cartesian
-3.597 -4.909 0.703
-5.040 -3.364 -0.901
-3.132 -4.907 -1.909
-5.356 -5.998 -0.959
-2.141 -2.397 -0.383
0.000 0.000 0.000
```

---

Calculated formation energy from the elements, -175, -312, 95, -210, -325, -298, -48, -160, -153, -507, -391, -68, -192, -384, -375, -299, -298, -325, 226, 150, 697, 30, -54, -223 meV/atom (same order as the records).